1.
Entry from Alexandria: a relaxed CaSi2Ru crystal (PBEsol).

abc: 3.0030 3.7811 6.3321
angles: 90.00 103.45 90.00
Sites, in units of the cell vectors:
Ca: 0.5454 0.0000 0.4733
Ru: 0.2541 0.5000 0.8786
Si: 0.7904 0.0000 0.9507
Si: 0.9101 0.5000 0.1974

## Properties
- symmetry = Pm (6)
- final energy (eV/cell) = -25.0
- formation energy (no corrections) (eV per atom) = -0.30



2.
Entry from Alexandria: a relaxed Li2RhN crystal (PBEsol).

abc: 3.7105 5.6527 5.6527
angles: 83.82 70.84 70.84
Sites, in units of the cell vectors:
Li: 0.8750 0.8549 0.6451
Li: 0.3750 0.1451 0.3549
Li: 0.4799 0.6451 0.1451
Li: 0.2701 0.3549 0.8549
Rh: 0.0000 0.0000 0.0000
Rh: 0.7500 0.5000 0.5000
N: 0.5000 0.0000 0.0000
N: 0.2500 0.5000 0.5000

## Properties
- symmetry = I-42d (122)
- final energy (eV/cell) = -43.2
- formation energy (no corrections) (eV per atom) = -0.25



3.
Entry from Alexandria: a relaxed Dy2Au crystal (PBEsol).

abc: 4.8809 6.9486 8.8111
angles: 90.00 90.00 90.00
Sites, in units of the cell vectors:
Au: 0.7500 0.7418 0.5967
Au: 0.7500 0.2418 0.9033
Au: 0.2500 0.7582 0.0967
Au: 0.2500 0.2582 0.4033
Dy: 0.7500 0.1528 0.5824
Dy: 0.2500 0.4897 0.6779
Dy: 0.2500 0.9897 0.8221
Dy: 0.7500 0.6528 0.9176
Dy: 0.2500 0.3472 0.0824
Dy: 0.7500 0.0103 0.1779
Dy: 0.7500 0.5103 0.3221
Dy: 0.2500 0.8472 0.4176

## Properties
- formation energy from the elements (meV/atom) = -647
- symmetry = Pnma (62)
- final energy (eV/cell) = -63.3



4.
Entry from Alexandria: a relaxed LiVBO4 crystal (PBEsol).

abc: 8.0635 8.0635 8.0635
angles: 107.52 107.52 107.52
Site moments in Bohr magnetons follow the coordinates.
Sites, in units of the cell vectors:
Li: 0.4517 0.0576 0.2387  0.00
Li: 0.7768 0.5472 0.9471  0.00
Li: 0.9471 0.7768 0.5472  0.00
Li: 0.0576 0.2387 0.4517  0.00
Li: 0.2387 0.4517 0.0576  0.00
Li: 0.5472 0.9471 0.7768  0.00
V: 0.8957 0.1313 0.7199  0.97
V: 0.4266 0.2125 0.6125  0.90
V: 0.6125 0.4266 0.2125  0.90
V: 0.7199 0.8957 0.1313  0.97
V: 0.2125 0.6125 0.4266  0.90
V: 0.1313 0.7199 0.8957  0.97
B: 0.8718 0.2792 0.0953  0.02
B: 0.7866 0.3827 0.5751  0.03
B: 0.2792 0.0953 0.8718  0.02
B: 0.3827 0.5751 0.7866  0.03
B: 0.5751 0.7866 0.3827  0.03
B: 0.0953 0.8718 0.2792  0.02
O: 0.9588 0.2919 0.9591  -0.02
O: 0.7504 0.0756 0.0399  0.01
O: 0.8920 0.2617 0.5747  -0.02
O: 0.9258 0.5880 0.6624  -0.01
O: 0.6435 0.3236 0.3802  0.01
O: 0.7552 0.3906 0.0873  -0.01
O: 0.3906 0.0873 0.7552  -0.01
O: 0.6774 0.3502 0.6911  -0.02
O: 0.2903 0.0299 0.3697  -0.01
O: 0.3697 0.2903 0.0299  -0.01
O: 0.6911 0.6774 0.3502  -0.02
O: 0.0756 0.0399 0.7504  0.01
O: 0.3236 0.3802 0.6435  0.01
O: 0.9591 0.9588 0.2919  -0.02
O: 0.5880 0.6624 0.9258  -0.01
O: 0.6624 0.9258 0.5880  -0.01
O: 0.5747 0.8920 0.2617  -0.02
O: 0.3802 0.6435 0.3236  0.01
O: 0.3502 0.6911 0.6774  -0.02
O: 0.0299 0.3697 0.2903  -0.01
O: 0.2617 0.5747 0.8920  -0.02
O: 0.0873 0.7552 0.3906  -0.01
O: 0.2919 0.9591 0.9588  -0.02
O: 0.0399 0.7504 0.0756  0.01

## Properties
- excess energy over the best structure of this formula in the dataset (meV/atom) = 0
- symmetry = R3 (146)
- final energy (eV/cell) = -334.5
- formation energy (no corrections) (eV per atom) = -2.30



5.
Entry from Alexandria: a relaxed PIrIN2 crystal (PBEsol).

abc: 3.5079 3.5079 6.8850
angles: 90.00 90.00 90.00
Sites, in units of the cell vectors:
I: 0.0000 0.0000 0.5000
P: 0.0000 0.0000 0.0000
Ir: 0.5000 0.5000 0.5000
N: 0.0000 0.5000 0.0000
N: 0.5000 0.0000 0.0000

## Properties
- symmetry = P4/mmm (123)
- final energy (eV/cell) = -27.5
- formation energy (no corrections) (eV per atom) = 1.39



6.
Entry from Alexandria: a relaxed RbReS3 crystal (PBEsol).

abc: 5.1841 5.1841 5.1841
angles: 90.00 90.00 90.00
Site moments in Bohr magnetons follow the coordinates.
Sites, in units of the cell vectors:
Re: 0.5000 0.5000 0.5000  4.11
S: 0.0000 0.5000 0.0000  -0.20
S: 0.0000 0.0000 0.5000  -0.20
S: 0.5000 0.0000 0.0000  -0.20
Rb: 0.0000 0.0000 0.0000  -0.02

## Properties
- symmetry = Pm-3m (221)
- final energy (eV/cell) = -15.3
- formation energy (no corrections) (eV per atom) = 2.43



7.
Entry from Alexandria: a relaxed LaTc3 crystal (PBEsol).

abc: 2.8380 2.8380 9.8326
angles: 81.70 81.70 60.00
Sites, in units of the cell vectors:
La: 0.0000 0.0000 0.0000
Tc: 0.2377 0.2377 0.2870
Tc: 0.5000 0.5000 0.5000
Tc: 0.7623 0.7623 0.7130

## Properties
- formation energy from the elements (meV/atom) = 510
- symmetry = R-3m (166)
- final energy (eV/cell) = -37.1



8.
Entry from Alexandria: a relaxed TaAl2Si2 crystal (PBEsol).

abc: 3.5163 6.6236 6.6236
angles: 90.00 90.00 90.00
Sites, in units of the cell vectors:
Si: 0.0000 0.3681 0.8681
Si: 0.0000 0.8681 0.6319
Si: 0.0000 0.6319 0.1319
Si: 0.0000 0.1319 0.3681
Al: 0.5000 0.1680 0.6680
Al: 0.5000 0.6680 0.8320
Al: 0.5000 0.8320 0.3320
Al: 0.5000 0.3320 0.1680
Ta: 0.0000 0.0000 0.0000
Ta: 0.0000 0.5000 0.5000

## Properties
- symmetry = P4/mbm (127)
- final energy (eV/cell) = -65.6
- formation energy (no corrections) (eV per atom) = -0.11



9.
Entry from Alexandria: a relaxed MgIrC3 crystal (PBEsol).

abc: 3.9780 3.9780 3.9780
angles: 90.00 90.00 90.00
Sites, in units of the cell vectors:
Mg: 0.5000 0.5000 0.5000
Ir: 0.0000 0.0000 0.0000
C: 0.0000 0.5000 0.0000
C: 0.0000 0.0000 0.5000
C: 0.5000 0.0000 0.0000

## Properties
- excess energy over the best structure of this formula in the dataset (meV/atom) = 0
- formation energy from the elements (meV/atom) = 1854
- symmetry = Pm-3m (221)
- final energy (eV/cell) = -31.2



10.
Entry from Alexandria: a relaxed HfCr2HgPd crystal (PBEsol).

abc: 4.8172 4.8172 4.8937
angles: 90.00 90.00 90.00
Site moments in Bohr magnetons follow the coordinates.
Sites, in units of the cell vectors:
Cr: 0.0000 0.5000 0.0000  3.63
Cr: 0.5000 0.0000 0.0000  3.63
Hf: 0.5000 0.5000 0.5000  -0.20
Hg: 0.0000 0.0000 0.0000  0.15
Pd: 0.0000 0.0000 0.5000  0.08

## Properties
- formation energy from the elements (meV/atom) = 1514
- symmetry = P4/mmm (123)
- final energy (eV/cell) = -29.9



11.
Entry from Alexandria: a relaxed AgSnAs2Se crystal (PBEsol).

abc: 5.1760 5.1760 5.2071
angles: 90.00 90.00 90.00
Site moments in Bohr magnetons follow the coordinates.
Sites, in units of the cell vectors:
As: 0.0000 0.5000 0.0000  0.09
As: 0.5000 0.0000 0.0000  0.09
Se: 0.0000 0.0000 0.5000  0.03
Sn: 0.0000 0.0000 0.0000  0.00
Ag: 0.5000 0.5000 0.5000  0.01

## Properties
- symmetry = P4/mmm (123)
- final energy (eV/cell) = -16.9
- formation energy (no corrections) (eV per atom) = 0.96



12.
Entry from Alexandria: a relaxed SrInFe2 crystal (PBEsol).

abc: 3.1228 4.5778 6.1241
angles: 90.00 96.81 90.00
Site moments in Bohr magnetons follow the coordinates.
Sites, in units of the cell vectors:
Fe: 0.7349 0.0000 0.8580  2.50
Fe: 0.2651 0.0000 0.1420  2.50
In: 0.5000 0.5000 0.0000  -0.08
Sr: 0.0000 0.5000 0.5000  -0.03

## Properties
- formation energy from the elements (meV/atom) = 529
- symmetry = P2/m (10)
- final energy (eV/cell) = -20.6



13.
Entry from Alexandria: a relaxed Tl2AgP crystal (PBEsol).

abc: 3.3010 4.8300 6.3902
angles: 112.21 104.97 90.00
Sites, in units of the cell vectors:
Ag: 0.4579 0.4579 0.9158
P: 0.7921 0.2921 0.5843
Tl: 0.0289 0.0289 0.0579
Tl: 0.2210 0.7210 0.4421

## Properties
- excess energy over the best structure of this formula in the dataset (meV/atom) = 167
- formation energy from the elements (meV/atom) = 245
- symmetry = Imm2 (44)
- final energy (eV/cell) = -13.4